Crystalline Ru2Pt3Rh4 at its relaxed geometry. Source: Alexandria, functional GGA-PBE.

Calculated values
- formation energy (meV per atom) = -27
- SG = C2/m (12)
- D(E_F) (states/eV per cell) = 9.59
- E_tot (Ha/atom) = -0.2708

Cell lengths 3.8637, 6.1496, 6.1414 Å; angles 107.55, 108.33, 90.00 degrees
With the nearest neighbours (Å) after each atom.
Positions (direct):
Ru 0.3271 0.0007 0.6543  2 Ru 2.64, 5 Rh 2.67-2.78, 5 Pt 2.68-2.79
Ru 0.6729 0.9993 0.3457  2 Ru 2.64, 5 Rh 2.67-2.78, 5 Pt 2.68-2.79
Pt 0.8869 0.3322 0.7738  3 Ru 2.68-2.73, 7 Rh 2.73-2.78, 2 Pt 2.76-2.79
Pt 0.1131 0.6678 0.2262  3 Ru 2.68-2.73, 7 Rh 2.73-2.78, 2 Pt 2.76-2.79
Pt 0.0000 0.0000 0.0000  6 Rh 2.71, 2 Pt 2.76, 4 Ru 2.79
Rh 0.5563 0.3257 0.1126  6 Pt 2.71-2.78, 4 Rh 2.72-2.85, 2 Ru 2.76-2.78
Rh 0.7796 0.6741 0.5593  3 Ru 2.67-2.71, 4 Pt 2.71-2.77, 5 Rh 2.72-2.80
Rh 0.4437 0.6743 0.8874  6 Pt 2.71-2.78, 4 Rh 2.72-2.85, 2 Ru 2.76-2.78
Rh 0.2204 0.3259 0.4407  3 Ru 2.67-2.71, 4 Pt 2.71-2.77, 5 Rh 2.72-2.80

***

Crystalline RuPtRh at its relaxed geometry. Source: Alexandria, functional GGA-PBE.

Calculated values
- formation energy (meV per atom) = 6
- SG = P3m1 (156)
- D(E_F) (states/eV per cell) = 3.87
- E_tot (Ha/atom) = -0.2775
- E above lowest polymorph (meV/atom) = 32

Cell lengths 2.7339, 2.7339, 6.7585 Å; angles 90.00, 90.00, 120.00 degrees
With the nearest neighbours (Å) after each atom.
Positions (direct):
Ru 0.6667 0.3333 0.6595  3 Rh 2.65, 6 Ru 2.73, 3 Pt 2.77
Rh 0.3333 0.6667 0.3442  3 Ru 2.65, 6 Rh 2.73, 3 Pt 2.83
Pt 0.0000 0.0000 0.9963  6 Pt 2.73, 3 Ru 2.77, 3 Rh 2.83

***

Crystalline RuPt2Rh6 at its relaxed geometry. Source: Alexandria, functional GGA-PBE.

Calculated values
- formation energy (meV per atom) = -12
- SG = P-1 (2)
- D(E_F) (states/eV per cell) = 21.22
- E_tot (Ha/atom) = -0.2677
- E above lowest polymorph (meV/atom) = 0

Cell lengths 7.2357, 7.2388, 6.1164 Å; angles 85.06, 64.86, 64.59 degrees
With the nearest neighbours (Å) after each atom.
Positions (direct):
Ru 0.1934 0.1366 0.8924  8 Rh 2.69-2.75, 4 Pt 2.72-2.77
Ru 0.8066 0.8634 0.1076  8 Rh 2.69-2.75, 4 Pt 2.72-2.77
Pt 0.1391 0.5298 0.7803  2 Ru 2.72-2.77, 2 Pt 2.72-2.76, 8 Rh 2.73-2.77
Pt 0.4729 0.1929 0.4412  2 Ru 2.72-2.76, 8 Rh 2.72-2.78, 2 Pt 2.73-2.76
Pt 0.8609 0.4702 0.2197  2 Ru 2.72-2.77, 2 Pt 2.72-2.76, 8 Rh 2.73-2.77
Pt 0.5271 0.8071 0.5588  2 Ru 2.72-2.76, 8 Rh 2.72-2.78, 2 Pt 2.73-2.76
Rh 0.4139 0.5852 0.3309  8 Rh 2.71-2.79, 4 Pt 2.74-2.77
Rh 0.9734 0.6949 0.4404  8 Rh 2.70-2.77, 3 Pt 2.73-2.77, 1 Ru 2.74
Rh 0.5861 0.4148 0.6691  8 Rh 2.71-2.79, 4 Pt 2.74-2.77
Rh 0.0266 0.3051 0.5596  8 Rh 2.70-2.77, 3 Pt 2.73-2.77, 1 Ru 2.74
Rh 0.9194 0.0800 0.3312  8 Rh 2.68-2.76, 2 Ru 2.70-2.72, 2 Pt 2.74-2.75
Rh 0.6933 0.6411 0.8901  8 Rh 2.69-2.77, 3 Pt 2.72-2.74, 1 Ru 2.73
Rh 0.0806 0.9200 0.6688  8 Rh 2.68-2.76, 2 Ru 2.70-2.72, 2 Pt 2.74-2.75
Rh 0.3067 0.3589 0.1099  8 Rh 2.69-2.77, 3 Pt 2.72-2.74, 1 Ru 2.73
Rh 0.2463 0.7547 0.0029  8 Rh 2.68-2.77, 2 Ru 2.69-2.71, 2 Pt 2.73
Rh 0.3612 0.9698 0.2165  8 Rh 2.68-2.77, 2 Ru 2.69-2.75, 2 Pt 2.76-2.78
Rh 0.7537 0.2453 0.9971  8 Rh 2.68-2.77, 2 Ru 2.69-2.71, 2 Pt 2.73
Rh 0.6388 0.0302 0.7835  8 Rh 2.68-2.77, 2 Ru 2.69-2.75, 2 Pt 2.76-2.78

***

Crystalline SbRuPtRh at its relaxed geometry. Source: Alexandria, functional GGA-PBE.

Calculated values
- E_form (uncorrected) (eV/atom) = -0.01
- SG = F-43m (216)
- D(E_F) (states/eV per cell) = 6.57
- E_tot (Ha/atom) = -0.2467

Cell lengths 4.4990, 4.4990, 4.4990 Å; angles 60.00, 60.00, 60.00 degrees
With the nearest neighbours (Å) after each atom.
Positions (direct):
Sb 0.7500 0.7500 0.7500  4 Rh 2.76, 4 Ru 2.76
Rh 0.0000 0.0000 0.0000  4 Pt 2.76, 4 Sb 2.76
Pt 0.2500 0.2500 0.2500  4 Ru 2.76, 4 Rh 2.76
Ru 0.5000 0.5000 0.5000  4 Sb 2.76, 4 Pt 2.76

***

Crystalline TaRuPt2Rh2 at its relaxed geometry. Source: Alexandria, functional GGA-PBE.

Calculated values
- formation energy (meV per atom) = -99
- SG = P2_1/m (11)
- D(E_F) (states/eV per cell) = 16.69
- E_tot (Ha/atom) = -0.2971

Cell lengths 5.1586, 5.0101, 7.3605 Å; angles 83.29, 90.00, 90.00 degrees
With the nearest neighbours (Å) after each atom.
Positions (direct):
Ta 0.7500 0.4236 0.7668  3 Ru 2.58-2.81, 2 Rh 2.64-2.75, 2 Pt 2.73
Ta 0.2500 0.5764 0.2332  3 Ru 2.58-2.81, 2 Rh 2.64-2.75, 2 Pt 2.73
Ru 0.2500 0.3919 0.9201  3 Ta 2.58-2.81, 1 Rh 2.58, 4 Pt 2.72-2.76
Ru 0.7500 0.6081 0.0799  3 Ta 2.58-2.81, 1 Rh 2.58, 4 Pt 2.72-2.76
Pt 0.5023 0.0581 0.1789  3 Pt 2.56-2.76, 2 Ru 2.72-2.76, 3 Rh 2.73-2.80, 1 Ta 2.73
Pt 0.9977 0.0581 0.1789  3 Pt 2.56-2.76, 2 Ru 2.72-2.76, 3 Rh 2.73-2.80, 1 Ta 2.73
Pt 0.0023 0.9419 0.8211  3 Pt 2.56-2.76, 2 Ru 2.72-2.76, 3 Rh 2.73-2.80, 1 Ta 2.73
Pt 0.4977 0.9419 0.8211  3 Pt 2.56-2.76, 2 Ru 2.72-2.76, 3 Rh 2.73-2.80, 1 Ta 2.73
Rh 0.2500 0.1366 0.4939  4 Rh 2.59-2.88, 4 Pt 2.73-2.80, 1 Ta 2.75
Rh 0.2500 0.6201 0.5869  1 Ru 2.58, 4 Rh 2.59-2.88, 1 Ta 2.64, 2 Pt 2.80
Rh 0.7500 0.8634 0.5061  4 Rh 2.59-2.88, 4 Pt 2.73-2.80, 1 Ta 2.75
Rh 0.7500 0.3799 0.4131  1 Ru 2.58, 4 Rh 2.59-2.88, 1 Ta 2.64, 2 Pt 2.80

***

Crystalline TcRuPtRh at its relaxed geometry. Source: Alexandria, functional GGA-PBE.

Calculated values
- formation energy (meV per atom) = 49
- SG = Pm (6)
- D(E_F) (states/eV per cell) = 3.23
- E_tot (Ha/atom) = -0.3017

Cell lengths 2.6825, 4.2475, 5.3211 Å; angles 90.00, 104.51, 90.00 degrees
With the nearest neighbours (Å) after each atom.
Positions (direct):
Tc 0.3502 0.0000 0.6328  3 Pt 2.63-2.86, 2 Tc 2.68, 4 Rh 2.71-2.72, 4 Ru 2.94-2.95
Ru 0.0005 0.5000 0.9304  1 Rh 2.56, 2 Ru 2.68, 4 Pt 2.74
Pt 0.6063 0.0000 0.1434  2 Rh 2.59, 3 Tc 2.63-2.86, 2 Pt 2.68, 4 Ru 2.74
Rh 0.7509 0.5000 0.4327  1 Ru 2.56, 2 Pt 2.59, 2 Rh 2.68, 4 Tc 2.71-2.72